# KWBr

A relaxed structure of KWBr (PBE-GGA, Alexandria via LeMat-Bulk).

symmetry	P3m1, No. 156
ΔE to the lowest computed polymorph	0	meV/atom
uncorrected formation energy	0.91	eV per atom
calculated total energy	-4.336	eV per atom

Lattice parameters (Å, degrees): 3.208 3.208 7.748 90.00 90.00 120.00
Fractional coordinates of all 3 atoms:
1 K 0.000 0.000 0.000
2 W 0.667 0.333 0.377
3 Br 0.333 0.667 0.625



# K2WBr

A relaxed structure of K2WBr (PBE-GGA, Alexandria via LeMat-Bulk).

symmetry	F-43m, No. 216
ΔE to the lowest computed polymorph	337	meV/atom
uncorrected formation energy	1.01	eV per atom
calculated total energy	-3.197	eV per atom

Lattice parameters (Å, degrees): 8.341 8.341 8.341 90.00 90.00 90.00
Fractional coordinates of all 16 atoms:
1 K 0.000 0.000 0.000
2 K 0.000 0.500 0.500
3 K 0.250 0.250 0.250
4 K 0.250 0.750 0.750
5 K 0.500 0.000 0.500
6 K 0.500 0.500 0.000
7 K 0.750 0.250 0.750
8 K 0.750 0.750 0.250
9 W 0.250 0.250 0.750
10 W 0.250 0.750 0.250
11 W 0.750 0.250 0.250
12 W 0.750 0.750 0.750
13 Br 0.000 0.000 0.500
14 Br 0.000 0.500 0.000
15 Br 0.500 0.000 0.000
16 Br 0.500 0.500 0.500



# KWBr

A relaxed structure of KWBr (PBE-GGA, Alexandria via LeMat-Bulk).

symmetry	F-43m, No. 216
ΔE to the lowest computed polymorph	735	meV/atom
uncorrected formation energy	1.64	eV per atom
calculated total energy	-3.601	eV per atom

Lattice parameters (Å, degrees): 7.883 7.883 7.883 90.00 90.00 90.00
Fractional coordinates of all 12 atoms:
1 K 0.000 0.000 0.000
2 K 0.000 0.500 0.500
3 K 0.500 0.000 0.500
4 K 0.500 0.500 0.000
5 W 0.250 0.250 0.250
6 W 0.250 0.750 0.750
7 W 0.750 0.250 0.750
8 W 0.750 0.750 0.250
9 Br 0.250 0.250 0.750
10 Br 0.250 0.750 0.250
11 Br 0.750 0.250 0.250
12 Br 0.750 0.750 0.750



What did the third record say?
# KWBr

A relaxed structure of KWBr (PBE-GGA, Alexandria via LeMat-Bulk).

symmetry	F-43m, No. 216
ΔE to the lowest computed polymorph	735	meV/atom
uncorrected formation energy	1.64	eV per atom
calculated total energy	-3.601	eV per atom

Lattice parameters (Å, degrees): 7.883 7.883 7.883 90.00 90.00 90.00
Fractional coordinates of all 12 atoms:
1 K 0.000 0.000 0.000
2 K 0.000 0.500 0.500
3 K 0.500 0.000 0.500
4 K 0.500 0.500 0.000
5 W 0.250 0.250 0.250
6 W 0.250 0.750 0.750
7 W 0.750 0.250 0.750
8 W 0.750 0.750 0.250
9 Br 0.250 0.250 0.750
10 Br 0.250 0.750 0.250
11 Br 0.750 0.250 0.250
12 Br 0.750 0.750 0.750